DFT (PBE-GGA) results for a geometry-optimized BaNi2P2 structure.

a = 7.5006 Å, b = 6.2425 Å, c = 6.2283 Å
α = 73.95°, β = 53.11°, γ = 52.94°
Closest atoms and distances in Å follow each position.
Fractional positions:
Ba (0.1250, 0.1250, 0.1250)  6 P 3.22-3.49, 8 Ni 3.38-3.54
Ba (0.8750, 0.8750, 0.8750)  6 P 3.22-3.49, 8 Ni 3.38-3.54
Ni (0.2485, 0.5015, 0.2485)  4 P 2.26
Ni (0.4985, 0.7515, 0.4985)  4 P 2.26
Ni (0.5015, 0.2485, 0.5015)  4 P 2.26
Ni (0.7515, 0.4985, 0.7515)  4 P 2.26
P (0.2038, 0.2038, 0.5462)  4 Ni 2.26
P (0.4538, 0.4538, 0.7962)  4 Ni 2.26
P (0.5462, 0.5462, 0.2038)  4 Ni 2.26
P (0.7962, 0.7962, 0.4538)  4 Ni 2.26

Properties
Space-group type = Fddd
N(E_F) = 6.52 states/eV/cell
Formation energy = -0.76 eV/atom